1.
VASP calculation (PBE) on an optimized crystal structure of Te4RuCl.

Cell lengths 6.2233, 6.2233, 6.2233 Å; angles 60.00, 60.00, 60.00 degrees
With the nearest neighbours (Å) after each atom.
Positions (direct):
Te  0.1249  0.1249  0.1249  6 Te 3.11
Te  0.1249  0.1249  0.6253  6 Te 3.11
Te  0.1249  0.6253  0.1249  6 Te 3.11
Te  0.6253  0.1249  0.1249  6 Te 3.11
Ru  0.5000  0.5000  0.5000  12 Te 3.65, 4 Cl 3.81
Cl  0.7500  0.7500  0.7500  12 Te 3.65, 4 Ru 3.81

SG: F-43m
Calculated volume (Å³ per atom): 28.4
Raw formation energy (kJ/mol of formula units): 490
E (eV/atom): -3.10



2.
VASP calculation (PBE) on an optimized crystal structure of SrDy4Cd5.

Cell lengths 3.7923, 3.7923, 19.0811 Å; angles 90.00, 90.00, 90.00 degrees
With the nearest neighbours (Å) after each atom.
Positions (direct):
Sr  0.0000  0.0000  0.0000  8 Cd 3.51, 4 Sr 3.79
Dy  0.0000  0.0000  0.2107  8 Cd 3.21-3.25
Dy  0.0000  0.0000  0.4038  8 Cd 3.25-3.26
Dy  0.0000  0.0000  0.5962  8 Cd 3.25-3.26
Dy  0.0000  0.0000  0.7893  8 Cd 3.21-3.25
Cd  0.5000  0.5000  0.1184  4 Dy 3.21, 4 Sr 3.51
Cd  0.5000  0.5000  0.3069  8 Dy 3.25-3.26, 1 Cd 3.60
Cd  0.5000  0.5000  0.5000  8 Dy 3.25
Cd  0.5000  0.5000  0.6931  8 Dy 3.25-3.26, 1 Cd 3.60
Cd  0.5000  0.5000  0.8816  4 Dy 3.21, 4 Sr 3.51

SG: P4/mmm
Calculated volume (Å³ per atom): 27.4
E (eV/atom): -2.78



3.
VASP calculation (PBE) on an optimized crystal structure of Ba2SeI.

Cell lengths 4.7289, 4.7289, 16.7582 Å; angles 90.00, 90.00, 120.00 degrees
With the nearest neighbours (Å) after each atom.
Positions (direct):
Ba  0.3333  0.6667  0.1044  3 Se 3.24
Ba  0.3333  0.6667  0.3956  3 Se 3.24
Ba  0.6667  0.3333  0.6044  3 Se 3.24
Ba  0.6667  0.3333  0.8956  3 Se 3.24
Se  0.0000  0.0000  0.0000  6 Ba 3.24
Se  0.0000  0.0000  0.5000  6 Ba 3.24
I  0.3333  0.6667  0.7500  6 Ba 3.66
I  0.6667  0.3333  0.2500  6 Ba 3.66

SG: P6_3/mmc
Calculated volume (Å³ per atom): 40.6
Raw formation energy (kJ/mol of formula units): -658
Relative energy among the computed polymorphs (eV per atom): 0.006
E (eV/atom): -3.92



4.
VASP calculation (PBE) on an optimized crystal structure of CdSi.

Cell lengths 3.9242, 3.9242, 3.9242 Å; angles 60.00, 60.00, 60.00 degrees
With the nearest neighbours (Å) after each atom.
Positions (direct):
Cd  0.0000  0.0000  0.0000  6 Si 2.77
Si  0.5000  0.5000  0.5000  6 Cd 2.77

SG: Fm-3m
Calculated volume (Å³ per atom): 21.4
Raw formation energy (kJ/mol of formula units): 108
E (eV/atom): -2.61



What is the formula in the first record?
Te4RuCl



Which of these has the lowest E?
Ba2SeI



Among the records above, which one has the lowest calculated volume?
CdSi